# 1
Below is an optimized crystal structure of MgCd2GaHg6, with properties calculated at the PBE level.

a b c (Å): 6.1988 6.2351 7.1511
angles (deg): 104.57 96.82 111.79
Last column: nearest neighbours and their distance in Å.
Space group P1 (No. 1)
Unique sites:
Mg 0.0000 0.0000 0.0000  7 Hg 2.92-3.18, 1 Ga 3.09, 1 Cd 3.19
Cd 0.1654 0.7966 0.6137  7 Hg 2.99-3.31, 1 Cd 3.05, 1 Ga 3.09, 1 Mg 3.19
Cd 0.2750 0.6147 0.2147  6 Hg 2.95-3.21, 1 Cd 3.05, 1 Ga 3.23
Ga 0.8761 0.2501 0.3767  6 Hg 2.89-3.22, 2 Cd 3.09-3.23, 1 Mg 3.09
Hg 0.2363 0.3522 0.7978  2 Cd 2.95-3.22, 1 Mg 2.96, 3 Hg 3.10-3.29, 1 Ga 3.29
Hg 0.3436 0.2072 0.3836  1 Mg 2.92, 2 Ga 3.00-3.22, 3 Hg 3.10-3.16, 1 Cd 3.21
Hg 0.5166 0.0061 0.0062  1 Ga 2.89, 2 Cd 2.99-3.17, 2 Mg 3.02-3.18, 2 Hg 3.16-3.21
Hg 0.6856 0.8990 0.5994  1 Ga 3.00, 1 Mg 3.04, 3 Cd 3.07-3.26, 4 Hg 3.10-3.34
Hg 0.7615 0.4706 0.7648  1 Mg 2.98, 6 Hg 3.06-3.34, 1 Ga 3.06, 1 Cd 3.09
Hg 0.7805 0.6340 0.2097  1 Mg 3.03, 2 Hg 3.06-3.10, 3 Cd 3.10-3.19, 1 Ga 3.14

Summary:
The calculation puts the formation energy at -0.005 eV/atom. Its total DFT energy (no corrections) is -0.8308 eV per atom.

---

# 2
Below is an optimized crystal structure of MgTi3Cr, with properties calculated at the PBE level.

a b c (Å): 4.5975 4.5975 4.5975
angles (deg): 90.00 90.00 90.00
Last column: nearest neighbours and their distance in Å.
Space group Pm-3m (No. 221)
Unique sites:
Mg 0.0000 0.0000 0.0000  12 Ti 3.25
Ti 0.0000 0.5000 0.5000  2 Cr 2.30
Cr 0.5000 0.5000 0.5000  6 Ti 2.30

Summary:
The calculation puts the formation energy at 0.520 eV/atom. Its total DFT energy (no corrections) is -6.4605 eV per atom.

---

# 3
Below is an optimized crystal structure of LaPm2TlN, with properties calculated at the PBE level.

a b c (Å): 5.0281 5.0281 5.0803
angles (deg): 90.00 90.00 90.00
Last column: nearest neighbours and their distance in Å.
Space group P4/mmm (No. 123)
Unique sites:
La 0.0000 0.0000 0.0000  2 N 2.54
Pm 0.0000 0.5000 0.5000  2 N 2.51
Tl 0.5000 0.5000 0.0000  4 La 3.56, 8 Pm 3.57
N 0.0000 0.0000 0.5000  4 Pm 2.51, 2 La 2.54

Summary:
Its total DFT energy (no corrections) is -5.8609 eV per atom. The formation energy without anion corrections comes out at -837 meV/atom.

---

# 4
Below is an optimized crystal structure of AsOs2Cl, with properties calculated at the PBE level.

a b c (Å): 5.2646 5.2646 11.2694
angles (deg): 90.00 90.00 90.00
Last column: nearest neighbours and their distance in Å.
Space group I-42d (No. 122)
Unique sites:
As 0.0000 0.0000 0.0000  4 Os 2.41
Os 0.2268 0.2500 0.6250  2 Cl 2.27, 2 As 2.41
Cl 0.0000 0.0000 0.5000  4 Os 2.27

Summary:
Its total DFT energy (no corrections) is -6.1522 eV per atom. The formation energy without anion corrections comes out at 1087 meV/atom.

---

# 5
Below is an optimized crystal structure of PrGa2GeOs2, with properties calculated at the PBE level.

a b c (Å): 4.5816 4.5816 5.7287
angles (deg): 90.00 90.00 90.00
Last column: nearest neighbours and their distance in Å.
Space group P4/mmm (No. 123)
Unique sites:
Pr 0.0000 0.0000 0.0000  2 Ge 2.86
Ga 0.5000 0.5000 0.2326  1 Ga 2.67, 4 Os 2.76
Ge 0.0000 0.0000 0.5000  4 Os 2.29
Os 0.0000 0.5000 0.5000  2 Ge 2.29

Summary:
The calculation puts the formation energy at 0.074 eV/atom. Its total DFT energy (no corrections) is -6.2447 eV per atom.

---

# 6
Below is an optimized crystal structure of LaTcO2, with properties calculated at the PBE level.

a b c (Å): 5.9711 5.9711 5.9711
angles (deg): 90.00 90.00 90.00
Last column: nearest neighbours and their distance in Å.
Space group Fm-3m (No. 225)
Unique sites:
La 0.0000 0.0000 0.0000  8 O 2.59
Tc 0.0000 0.0000 0.5000  8 O 2.59
O 0.2500 0.2500 0.2500  4 La 2.59, 4 Tc 2.59

Summary:
Its total DFT energy (no corrections) is -7.4911 eV per atom. The formation energy without anion corrections comes out at -1189 meV/atom.

---

# 7
Below is an optimized crystal structure of Si2NCl5, with properties calculated at the PBE level.

a b c (Å): 6.8347 14.6976 11.4823
angles (deg): 90.00 109.98 90.00
Last column: nearest neighbours and their distance in Å.
Space group P2_1/c (No. 14)
Unique sites:
Si 0.0042 0.0262 0.2544  1 N 1.71
Si 0.0413 0.5821 0.5221  2 N 1.75
N 0.0094 0.5098 0.3960  3 Si 1.71-1.75
Cl 0.0610 0.0934 0.6765  1 Si 2.04
Cl 0.1684 0.1855 0.0136  1 Si 2.03
Cl 0.2046 0.6238 0.2405  1 Si 2.04
Cl 0.2938 0.0677 0.3638  1 Si 2.04
Cl 0.3303 0.6365 0.5997  1 Si 2.03

Summary:
Its total DFT energy (no corrections) is -4.7588 eV per atom. The formation energy without anion corrections comes out at -1208 meV/atom.

---

# 8
Below is an optimized crystal structure of CaPa3Se6, with properties calculated at the PBE level.

a b c (Å): 10.2911 14.3027 4.2941
angles (deg): 90.00 90.00 90.00
Last column: nearest neighbours and their distance in Å.
Space group Cmmm (No. 65)
Unique sites:
Ca 0.0000 0.0000 0.0000  4 Se 3.06
Pa 0.0000 0.5000 0.0000  4 Se 2.78
Pa 0.2500 0.2500 0.5000  6 Se 2.83-2.93
Se 0.0000 0.1523 0.5000  2 Pa 2.93, 2 Ca 3.06
Se 0.2070 0.3755 0.0000  3 Pa 2.78-2.83

Summary:
Its total DFT energy (no corrections) is -6.3057 eV per atom. The formation energy without anion corrections comes out at -1166 meV/atom.

---

# 9
Below is an optimized crystal structure of BeAgBPt2, with properties calculated at the PBE level.

a b c (Å): 4.1695 4.1695 4.3895
angles (deg): 90.00 90.00 90.00
Last column: nearest neighbours and their distance in Å.
Space group P4/mmm (No. 123)
Unique sites:
Be 0.0000 0.0000 0.0000  4 Pt 2.08, 2 Ag 2.19
Ag 0.0000 0.0000 0.5000  2 Be 2.19
B 0.5000 0.5000 0.5000  4 Ag 2.95, 8 Pt 3.03
Pt 0.0000 0.5000 0.0000  2 Be 2.08

Summary:
The calculation puts the formation energy at 0.913 eV/atom. Its total DFT energy (no corrections) is -4.1546 eV per atom.

---

# 10
Below is an optimized crystal structure of PmZn4Pd6, with properties calculated at the PBE level.

a b c (Å): 6.3623 6.3623 9.6359
angles (deg): 90.00 90.00 90.00
Last column: nearest neighbours and their distance in Å.
Space group I-42m (No. 121)
Unique sites:
Pm 0.0000 0.0000 0.0000  8 Pd 3.11-3.18, 4 Zn 3.21
Zn 0.1569 0.1569 0.5909  6 Pd 2.45-2.71, 2 Zn 2.66
Pd 0.0000 0.5000 0.0000  4 Zn 2.56
Pd 0.2160 0.2160 0.3156  4 Zn 2.45-2.71

Summary:
The calculation puts the formation energy at -0.376 eV/atom. Its total DFT energy (no corrections) is -4.1033 eV per atom.

---

# 11
Below is an optimized crystal structure of TaCdOsRu, with properties calculated at the PBE level.

a b c (Å): 6.3857 6.3857 6.3857
angles (deg): 90.00 90.00 90.00
Last column: nearest neighbours and their distance in Å.
Space group F-43m (No. 216)
Unique sites:
Ta 0.0000 0.0000 0.0000  4 Os 2.77, 4 Ru 2.77
Cd 0.0000 0.0000 0.5000  4 Ru 2.77, 4 Os 2.77
Os 0.2500 0.2500 0.7500  4 Cd 2.77, 4 Ta 2.77
Ru 0.2500 0.2500 0.2500  4 Cd 2.77, 4 Ta 2.77

Summary:
The calculation puts the formation energy at 0.057 eV/atom. Its total DFT energy (no corrections) is -8.2609 eV per atom.

---

# 12
Below is an optimized crystal structure of Cs2HgGeI, with properties calculated at the PBE level.

a b c (Å): 7.3444 7.3444 5.0142
angles (deg): 90.00 90.00 90.00
Last column: nearest neighbours and their distance in Å.
Space group P4/mmm (No. 123)
Unique sites:
Cs 0.0000 0.5000 0.0000  2 Hg 3.67
Hg 0.0000 0.0000 0.0000  2 Ge 2.51
Ge 0.0000 0.0000 0.5000  2 Hg 2.51
I 0.5000 0.5000 0.5000  8 Cs 4.45

Summary:
Its total DFT energy (no corrections) is -2.0409 eV per atom. The formation energy without anion corrections comes out at -406 meV/atom.

---

# 13
Below is an optimized crystal structure of NaTlBiAu, with properties calculated at the PBE level.

a b c (Å): 7.4050 7.4050 7.4050
angles (deg): 90.00 90.00 90.00
Last column: nearest neighbours and their distance in Å.
Space group F-43m (No. 216)
Unique sites:
Na 0.0000 0.0000 0.0000  4 Bi 3.21, 4 Tl 3.21
Tl 0.2500 0.2500 0.7500  4 Na 3.21, 4 Au 3.21
Bi 0.2500 0.2500 0.2500  4 Au 3.21, 4 Na 3.21
Au 0.0000 0.0000 0.5000  4 Tl 3.21, 4 Bi 3.21

Summary:
The calculation puts the formation energy at -0.121 eV/atom. Its total DFT energy (no corrections) is -2.8322 eV per atom.

---

# 14
Below is an optimized crystal structure of TcAg2P, with properties calculated at the PBE level.

a b c (Å): 6.2970 6.2970 6.2970
angles (deg): 90.00 90.00 90.00
Last column: nearest neighbours and their distance in Å.
Space group F-43m (No. 216)
Unique sites:
Tc 0.0000 0.0000 0.0000  4 Ag 2.73, 4 P 2.73
Ag 0.0000 0.0000 0.5000  4 Ag 2.73, 4 P 2.73
Ag 0.2500 0.2500 0.2500  4 Tc 2.73, 4 Ag 2.73
P 0.2500 0.2500 0.7500  4 Tc 2.73, 4 Ag 2.73

Summary:
The calculation puts the formation energy at 0.495 eV/atom. Its total DFT energy (no corrections) is -4.8744 eV per atom.

---

# 15
Below is an optimized crystal structure of NaSrLi2Hg4, with properties calculated at the PBE level.

a b c (Å): 4.9994 4.9994 27.4831
angles (deg): 90.00 90.00 120.00
Last column: nearest neighbours and their distance in Å.
Space group R-3m (No. 166, hexagonal axes)
Unique sites:
Na 0.0000 0.0000 0.0000  8 Hg 2.95-3.11
Sr 0.0000 0.0000 0.5000  8 Hg 3.32-3.41
Li 0.0000 0.0000 0.2623  7 Hg 2.99-3.12
Hg 0.0000 0.0000 0.1073  1 Na 2.95, 3 Li 3.05
Hg 0.0000 0.0000 0.3759  4 Li 2.99-3.12, 3 Na 3.11

Summary:
The calculation puts the formation energy at -0.332 eV/atom. Its total DFT energy (no corrections) is -1.3364 eV per atom.

---

# 16
Below is an optimized crystal structure of Pm3Y2TaN6, with properties calculated at the PBE level.

a b c (Å): 5.9792 10.3473 6.0210
angles (deg): 90.00 109.29 90.00
Last column: nearest neighbours and their distance in Å.
Space group C2/m (No. 12)
Unique sites:
Pm 0.0000 0.0000 0.0000  6 N 2.49-2.65
Pm 0.0000 0.3333 0.0000  6 N 2.47-2.67
Y 0.0000 0.1667 0.5000  6 N 2.43-2.44
Ta 0.0000 0.5000 0.5000  6 N 2.22-2.25
N 0.2272 0.3468 0.7214  1 Ta 2.22, 2 Y 2.43, 2 Pm 2.49
N 0.2321 0.5000 0.2729  1 Ta 2.25, 2 Y 2.44, 2 Pm 2.47

Summary:
Its total DFT energy (no corrections) is -8.8933 eV per atom. The formation energy without anion corrections comes out at -1478 meV/atom.

---

# 17
Below is an optimized crystal structure of P2SeSI, with properties calculated at the PBE level.

a b c (Å): 5.2313 5.2313 4.8923
angles (deg): 90.00 90.00 90.00
Last column: nearest neighbours and their distance in Å.
Space group P4/mmm (No. 123)
Unique sites:
P 0.0000 0.5000 0.0000  2 I 2.62
Se 0.0000 0.0000 0.5000  8 P 3.58, 4 S 3.70
S 0.5000 0.5000 0.5000  2 I 2.45
I 0.5000 0.5000 0.0000  2 S 2.45, 4 P 2.62

Summary:
Its total DFT energy (no corrections) is -2.4376 eV per atom. The formation energy without anion corrections comes out at 1559 meV/atom.

---

# 18
Below is an optimized crystal structure of SiRh2Br, with properties calculated at the PBE level.

a b c (Å): 3.4031 3.4031 6.0516
angles (deg): 90.00 90.00 90.00
Last column: nearest neighbours and their distance in Å.
Space group P4mm (No. 99)
Unique sites:
Si 0.0000 0.0000 0.0000  5 Rh 2.23-2.42
Rh 0.0000 0.0000 0.6323  1 Si 2.23
Rh 0.5000 0.5000 0.9635  4 Si 2.42
Br 0.5000 0.5000 0.4296  5 Rh 2.70-2.82

Summary:
Its total DFT energy (no corrections) is -5.4020 eV per atom. The formation energy without anion corrections comes out at 48 meV/atom.

---

# 19
Below is an optimized crystal structure of TlTc2Pt, with properties calculated at the PBE level.

a b c (Å): 4.8867 2.8933 4.9420
angles (deg): 90.00 108.18 90.00
Last column: nearest neighbours and their distance in Å.
Space group P2/m (No. 10)
Unique sites:
Tl 0.0000 0.0000 0.0000  4 Pt 2.84, 6 Tc 2.86-2.88, 2 Tl 2.89
Tc 0.0000 0.5000 0.5000  6 Tc 2.84-2.89, 4 Tl 2.86, 2 Pt 2.88
Tc 0.5000 0.0000 0.5000  6 Tc 2.84-2.89, 4 Pt 2.86, 2 Tl 2.88
Pt 0.5000 0.5000 0.0000  4 Tl 2.84, 6 Tc 2.86-2.88, 2 Pt 2.89

Summary:
The calculation puts the formation energy at 0.461 eV/atom. Its total DFT energy (no corrections) is -6.8235 eV per atom.

---

# 20
Below is an optimized crystal structure of Pm4Pr6Dy, with properties calculated at the PBE level.

a b c (Å): 6.7142 6.7142 17.6396
angles (deg): 90.00 90.00 90.00
Last column: nearest neighbours and their distance in Å.
Space group I-42m (No. 121)
Unique sites:
Pm 0.1884 0.1884 0.3229  5 Pr 3.39-3.63, 1 Pm 3.58, 1 Dy 3.60
Pr 0.0000 0.5000 0.0000  2 Dy 3.36, 4 Pr 3.38
Pr 0.1787 0.1787 0.1307  3 Pr 3.38-3.39, 5 Pm 3.39-3.63
Dy 0.0000 0.0000 0.5000  4 Pr 3.36, 4 Pm 3.60

Summary:
The calculation puts the formation energy at 0.274 eV/atom. Its total DFT energy (no corrections) is -4.4790 eV per atom.

---

# 21
Below is an optimized crystal structure of LaTiBe2, with properties calculated at the PBE level.

a b c (Å): 6.5875 6.5875 6.5875
angles (deg): 90.00 90.00 90.00
Last column: nearest neighbours and their distance in Å.
Space group Fm-3m (No. 225)
Unique sites:
La 0.0000 0.0000 0.0000  8 Be 2.85
Ti 0.0000 0.0000 0.5000  8 Be 2.85
Be 0.2500 0.2500 0.2500  4 La 2.85, 4 Ti 2.85

Summary:
The calculation puts the formation energy at 0.333 eV/atom. Its total DFT energy (no corrections) is -4.7358 eV per atom.

---

# 22
Below is an optimized crystal structure of La4Pm3PrTe8, with properties calculated at the PBE level.

a b c (Å): 9.0808 9.0808 22.1389
angles (deg): 90.00 90.00 120.00
Last column: nearest neighbours and their distance in Å.
Space group R-3m (No. 166, hexagonal axes)
Unique sites:
La 0.0000 0.0000 0.0000  6 Te 3.21
La 0.0000 0.5000 0.0000  6 Te 3.24
Pm 0.0000 0.5000 0.5000  6 Te 3.17
Pr 0.0000 0.0000 0.5000  6 Te 3.20
Te 0.0000 0.0000 0.2476  3 Pm 3.17, 3 La 3.24
Te 0.0024 0.5012 0.7519  2 Pm 3.17, 1 Pr 3.20, 3 La 3.21-3.24

Summary:
Its total DFT energy (no corrections) is -5.4981 eV per atom. The formation energy without anion corrections comes out at -1506 meV/atom.

---

# 23
Below is an optimized crystal structure of Tl4HgTeBr2, with properties calculated at the PBE level.

a b c (Å): 9.7525 13.0532 9.2733
angles (deg): 90.00 90.00 90.00
Last column: nearest neighbours and their distance in Å.
Space group Fmm2 (No. 42)
Unique sites:
Tl 0.0000 0.2434 0.0000  1 Te 3.18, 4 Br 3.36-3.37, 1 Hg 3.53
Tl 0.2002 0.0000 0.3091  2 Br 3.35, 2 Te 3.38-3.52, 2 Hg 3.41-3.47
Hg 0.0000 0.0000 0.6189  6 Tl 3.41-3.53, 1 Te 3.47
Te 0.0000 0.0000 0.9929  6 Tl 3.18-3.52, 1 Hg 3.47
Br 0.2500 0.2500 0.2486  6 Tl 3.35-3.37

Summary:
Its total DFT energy (no corrections) is -2.5235 eV per atom. The formation energy without anion corrections comes out at -492 meV/atom.

---

# 24
Below is an optimized crystal structure of Ho2RhSe, with properties calculated at the PBE level.

a b c (Å): 3.4632 3.4632 7.1697
angles (deg): 90.00 90.00 90.00
Last column: nearest neighbours and their distance in Å.
Space group P4/mmm (No. 123)
Unique sites:
Ho 0.0000 0.0000 0.2336  4 Rh 2.97, 4 Se 3.11
Rh 0.5000 0.5000 0.0000  8 Ho 2.97
Se 0.5000 0.5000 0.5000  8 Ho 3.11, 4 Se 3.46

Summary:
Its total DFT energy (no corrections) is -6.1476 eV per atom. The formation energy without anion corrections comes out at -1150 meV/atom.

---

# 25
Below is an optimized crystal structure of AcGdCuNi, with properties calculated at the PBE level.

a b c (Å): 7.2195 7.2195 7.2195
angles (deg): 90.00 90.00 90.00
Last column: nearest neighbours and their distance in Å.
Space group F-43m (No. 216)
Unique sites:
Ac 0.0000 0.0000 0.0000  4 Cu 3.13, 4 Ni 3.13
Gd 0.0000 0.0000 0.5000  4 Ni 3.13, 4 Cu 3.13
Cu 0.2500 0.2500 0.2500  4 Gd 3.13, 4 Ac 3.13
Ni 0.2500 0.2500 0.7500  4 Gd 3.13, 4 Ac 3.13

Summary:
The calculation puts the formation energy at -0.146 eV/atom. Its total DFT energy (no corrections) is -7.1627 eV per atom.